[1]
9
Lattice="-2.783 -5.618 -1.411 5.930 0.108 2.475 -2.147 3.487 4.953" Properties=species:S:1:pos:R:3 comment="Pm2Er2SiIr4 (PBE, optimized geometry)" space_group="No. 139" magnetic_moment_mub_per_atom=0.000 n_ef_per_ev_fu=4.361 raw_formation_energy_ev_per_atom=-0.43 pbc="T T T"
Pm 1.162 1.104 2.282
Ir -0.104 2.632 4.326
Ir 1.451 -0.090 4.852
Er -1.519 -0.167 3.628
Pm 2.621 2.490 5.145
Er 2.519 -1.856 2.389
Ir 3.887 0.963 3.102
Ir -0.451 -1.933 1.165
Si 0.000 0.000 0.000

[2]
18
Lattice="-1.831 -7.108 -1.874 -1.538 -3.765 6.391 -9.761 -0.741 0.646" Properties=species:S:1:pos:R:3 comment="DyBi5Rh3 (PBE, optimized geometry)" space_group="No. 12" magnetic_moment_mub_per_atom=0.000 formation_enthalpy_0k_mev_per_atom=-178 n_ef_per_ev_fu=4.394 pbc="T T T"
Bi -8.074 -6.642 2.973
Dy -5.915 -9.993 4.252
Rh 0.000 0.000 0.000
Bi -5.056 -4.971 2.190
Rh -7.686 -4.086 1.926
Rh -2.727 -3.753 1.615
Bi -5.847 -8.612 0.807
Bi -7.458 -5.004 -0.595
Bi -2.901 -8.378 3.492
Bi -7.282 -3.001 4.356
Rh -5.444 -7.527 3.238
Dy -7.215 -1.620 0.912
Rh -10.402 -7.860 3.549
Bi -5.671 -6.609 5.758
Bi -10.228 -3.235 1.672
Bi -1.743 -6.106 0.604
Rh -4.881 -0.370 0.323
Bi -1.626 -4.767 3.913

[3]
16
Lattice="-4.210 -1.787 -2.867 2.168 -7.327 1.383 -6.046 -0.101 8.943" Properties=species:S:1:pos:R:3 comment="SrSm3Hg4 (PBE, optimized geometry)" space_group="No. 123" magnetic_moment_mub_per_atom=0.044 formation_enthalpy_0k_mev_per_atom=-476 n_ef_per_ev_fu=6.391 pbc="T T T"
Hg -4.608 -2.704 3.370
Hg -3.481 -6.511 4.089
Sm -2.530 -4.582 1.495
Hg -2.891 -5.644 7.756
Sr 1.084 -3.664 0.692
Sm -5.558 -4.634 5.964
Sm 0.000 0.000 0.000
Sm -6.643 -0.971 5.271
Hg -0.458 -6.461 -0.382
Sm -3.023 -0.050 4.471
Sm -3.613 -0.917 0.805
Hg -5.198 -3.571 -0.296
Sr -1.939 -3.714 5.163
Hg -1.584 -2.654 -1.101
Hg -4.071 -7.378 0.422
Hg -4.017 -1.837 7.037

[4]
5
Lattice="-0.888 2.291 -4.535 -3.757 -3.396 -0.980 -3.879 3.554 2.556" Properties=species:S:1:pos:R:3 comment="VTe2HI (PBE, optimized geometry)" space_group="No. 123" final_energy_ev_per_atom=-3.548 magnetic_moment_mub_per_atom=0.341 n_ef_per_ev_fu=5.053 pbc="T T T"
Te -1.878 -1.698 -0.490
Te -0.444 1.146 -2.267
H -4.262 1.225 -1.479
I -1.939 1.777 1.278
V 0.000 0.000 0.000

[5]
4
Lattice="5.028 0.006 0.000 2.197 4.523 0.000 -3.613 -2.265 2.665" Properties=species:S:1:pos:R:3 comment="Cr2RuPb (PBE, optimized geometry)" space_group="No. 139" magnetic_moment_mub_per_atom=0.000 formation_enthalpy_0k_mev_per_atom=663 n_ef_per_ev_fu=4.630 pbc="T T T"
Cr 3.613 2.265 0.000
Cr 0.000 0.000 0.000
Pb 1.098 2.262 1.333
Ru 2.514 0.003 1.333

[6]
4
Lattice="-2.499 1.787 1.122 -1.149 -2.611 1.599 4.266 1.996 6.325" Properties=species:S:1:pos:R:3 comment="Cd2RuBr (PBE, optimized geometry)" space_group="No. 123" magnetic_moment_mub_per_atom=0.270 n_ef_per_ev_fu=3.716 raw_formation_energy_ev_per_atom=0.22 pbc="T T T"
Cd 0.152 0.071 0.225
Cd 1.982 0.927 2.938
Ru -0.757 0.087 2.942
Br 1.376 1.085 6.104

[7]
4
Lattice="0.335 0.298 4.542 -3.770 -0.012 2.571 -0.976 -3.620 2.602" Properties=species:S:1:pos:R:3 comment="KCuIr2 (PBE, optimized geometry)" space_group="No. 225" magnetic_moment_mub_per_atom=0.223 formation_enthalpy_0k_mev_per_atom=1414 n_ef_per_ev_fu=9.705 pbc="T T T"
Cu -2.206 -1.667 4.858
Ir -1.103 -0.834 2.429
K 0.000 0.000 0.000
Ir -3.309 -2.501 7.286

[8]
7
Lattice="-1.247 -3.588 -2.346 3.375 -2.328 1.767 -6.079 -2.943 7.735" Properties=species:S:1:pos:R:3 comment="Th2MgSn4 (PBE, optimized geometry)" space_group="No. 115" magnetic_moment_mub_per_atom=0.000 formation_enthalpy_0k_mev_per_atom=-327 n_ef_per_ev_fu=4.050 pbc="T T T"
Sn -1.976 -4.430 3.578
Sn -3.040 -1.471 3.867
Th -5.157 -3.989 4.595
Sn -3.301 -3.579 7.231
Mg 1.064 -2.958 -0.289
Th 0.142 -1.912 2.850
Sn -1.714 -2.322 0.215